# 1
VASP calculation (PBE) on crystalline Y2Tm3Sc2 at its relaxed geometry.

a b c (Å): 6.380 10.421 6.244
angles (deg): 90.00 87.37 90.00
Fractional positions:
Y 0.748 0.740 0.858
Y 0.248 0.760 0.858
Y 0.752 0.240 0.142
Y 0.252 0.260 0.142
Tm 0.500 0.500 0.000
Tm 0.000 0.000 0.000
Tm 0.530 0.057 0.744
Tm 0.970 0.557 0.256
Tm 0.030 0.443 0.744
Tm 0.470 0.943 0.256
Sc 0.532 0.355 0.556
Sc 0.968 0.855 0.444
Sc 0.032 0.145 0.556
Sc 0.468 0.645 0.444

Calculated values
- energy of formation from the pure elements (kJ per mole of atoms) = 22
- offset from the most stable computed form (eV/atom) = 0.000
- E (eV for the cell shown) = -74.8



# 2
VASP calculation (PBE) on crystalline YTm8Sc3 at its relaxed geometry.

a b c (Å): 8.368 8.368 8.368
angles (deg): 96.61 135.69 99.74
Fractional positions:
Y 0.000 0.000 0.000
Tm 0.511 0.269 0.241
Tm 0.489 0.731 0.759
Tm 0.972 0.731 0.241
Tm 0.028 0.269 0.759
Tm 0.164 0.416 0.251
Tm 0.836 0.087 0.252
Tm 0.835 0.584 0.748
Tm 0.165 0.913 0.749
Sc 0.500 0.730 0.230
Sc 0.500 0.270 0.770
Sc 0.000 0.500 0.500

Calculated values
- energy of formation from the pure elements (kJ per mole of atoms) = 39
- E (eV for the cell shown) = -56.4



# 3
VASP calculation (PBE) on crystalline YTm2Sc4 at its relaxed geometry.

a b c (Å): 3.357 11.046 7.632
angles (deg): 136.36 90.00 90.00
Fractional positions:
Y 0.500 0.500 0.000
Tm 0.000 0.805 0.610
Tm 0.000 0.195 0.390
Sc 0.000 0.228 0.000
Sc 0.000 0.772 0.000
Sc 0.500 0.500 0.500
Sc 0.500 0.000 0.500

Calculated values
- energy of formation from the pure elements (kJ per mole of atoms) = 17
- offset from the most stable computed form (eV/atom) = 0.000
- E (eV for the cell shown) = -39.5



# 4
VASP calculation (PBE) on crystalline Y2Tm15Sc2 at its relaxed geometry.

a b c (Å): 8.542 8.542 8.542
angles (deg): 79.77 79.77 79.77
Fractional positions:
Y 0.322 0.322 0.322
Y 0.678 0.678 0.678
Tm 0.000 0.000 0.500
Tm 0.500 0.000 0.000
Tm 0.000 0.500 0.000
Tm 0.296 0.704 0.000
Tm 0.000 0.296 0.704
Tm 0.704 0.000 0.296
Tm 0.000 0.704 0.296
Tm 0.296 0.000 0.704
Tm 0.704 0.296 0.000
Tm 0.636 0.636 0.144
Tm 0.144 0.636 0.636
Tm 0.636 0.144 0.636
Tm 0.364 0.364 0.856
Tm 0.856 0.364 0.364
Tm 0.364 0.856 0.364
Sc 0.092 0.092 0.092
Sc 0.908 0.908 0.908

Calculated values
- energy of formation from the pure elements (kJ per mole of atoms) = 27
- E (eV for the cell shown) = -87.3



# 5
VASP calculation (PBE) on crystalline Y2Tm5Sc2 at its relaxed geometry.

a b c (Å): 11.223 6.696 9.744
angles (deg): 110.10 125.16 90.00
Fractional positions:
Y 0.117 0.689 0.259
Y 0.883 0.430 0.741
Y 0.642 0.189 0.259
Y 0.358 0.930 0.741
Tm 0.224 0.657 0.891
Tm 0.776 0.766 0.109
Tm 0.168 0.157 0.891
Tm 0.832 0.266 0.109
Tm 0.376 0.033 0.286
Tm 0.624 0.748 0.714
Tm 0.409 0.533 0.286
Tm 0.591 0.248 0.714
Tm 0.967 0.656 0.500
Tm 0.033 0.156 0.500
Sc 0.000 0.971 0.000
Sc 0.500 0.471 0.000
Sc 0.275 0.385 0.500
Sc 0.725 0.885 0.500

Calculated values
- energy of formation from the pure elements (kJ per mole of atoms) = 24
- offset from the most stable computed form (eV/atom) = 0.153
- E (eV for the cell shown) = -91.5



# 6
VASP calculation (PBE) on crystalline YTm4Sc4 at its relaxed geometry.

a b c (Å): 4.791 7.603 7.603
angles (deg): 84.30 71.64 71.64
Fractional positions:
Y 0.000 0.000 0.000
Tm 0.670 0.330 0.330
Tm 0.330 0.670 0.670
Tm 0.000 0.670 0.330
Tm 0.000 0.330 0.670
Sc 0.668 0.665 0.000
Sc 0.332 0.335 0.000
Sc 0.668 0.000 0.665
Sc 0.332 0.000 0.335

Calculated values
- energy of formation from the pure elements (kJ per mole of atoms) = 5
- E (eV for the cell shown) = -49.2



# 7
VASP calculation (PBE) on crystalline Y2Tm2Sc3 at its relaxed geometry.

a b c (Å): 8.046 8.046 8.046
angles (deg): 109.47 109.47 109.47
Fractional positions:
Y 0.000 0.000 0.419
Y 0.500 0.419 0.500
Y 0.581 0.081 0.081
Y 0.919 0.500 0.000
Tm 0.000 0.000 0.820
Tm 0.500 0.820 0.500
Tm 0.180 0.680 0.680
Tm 0.320 0.500 0.000
Sc 0.696 0.750 0.946
Sc 0.804 0.250 0.554
Sc 0.054 0.304 0.250
Sc 0.446 0.196 0.750
Sc 0.250 0.946 0.196
Sc 0.750 0.554 0.304

Calculated values
- energy of formation from the pure elements (kJ per mole of atoms) = 25
- offset from the most stable computed form (eV/atom) = 0.017
- E (eV for the cell shown) = -78.1



# 8
VASP calculation (PBE) on crystalline Y4Tm7Sc at its relaxed geometry.

a b c (Å): 5.262 12.909 6.242
angles (deg): 94.41 65.07 78.24
Fractional positions:
Y 0.741 0.216 0.303
Y 0.259 0.784 0.697
Y 0.594 0.735 0.078
Y 0.406 0.265 0.922
Tm 0.836 0.899 0.429
Tm 0.164 0.101 0.571
Tm 0.963 0.628 0.447
Tm 0.037 0.372 0.553
Tm 0.327 0.533 0.813
Tm 0.500 0.000 0.000
Tm 0.673 0.467 0.187
Sc 0.000 0.000 0.000

Calculated values
- energy of formation from the pure elements (kJ per mole of atoms) = 21
- offset from the most stable computed form (eV/atom) = 0.060
- E (eV for the cell shown) = -60.9



# 9
VASP calculation (PBE) on crystalline YTm6Sc at its relaxed geometry.

a b c (Å): 6.654 6.411 6.699
angles (deg): 77.48 61.84 92.28
Fractional positions:
Y 0.000 0.500 0.000
Tm 0.095 0.774 0.467
Tm 0.581 0.739 0.509
Tm 0.419 0.261 0.491
Tm 0.905 0.226 0.533
Tm 0.559 0.752 0.997
Tm 0.441 0.248 0.003
Sc 0.000 0.000 0.000

Calculated values
- energy of formation from the pure elements (kJ per mole of atoms) = 20
- offset from the most stable computed form (eV/atom) = 0.013
- E (eV for the cell shown) = -37.9



# 10
VASP calculation (PBE) on crystalline Y12TmSc7 at its relaxed geometry.

a b c (Å): 9.087 9.087 9.087
angles (deg): 108.44 108.44 108.44
Fractional positions:
Y 0.808 0.326 0.616
Y 0.674 0.384 0.192
Y 0.408 0.076 0.295
Y 0.924 0.705 0.592
Y 0.384 0.192 0.674
Y 0.705 0.592 0.924
Y 0.295 0.408 0.076
Y 0.616 0.808 0.326
Y 0.076 0.295 0.408
Y 0.592 0.924 0.705
Y 0.326 0.616 0.808
Y 0.192 0.674 0.384
Tm 0.000 0.000 0.000
Sc 0.106 0.688 0.010
Sc 0.312 0.990 0.894
Sc 0.990 0.894 0.312
Sc 0.500 0.500 0.500
Sc 0.010 0.106 0.688
Sc 0.688 0.010 0.106
Sc 0.894 0.312 0.990

Calculated values
- energy of formation from the pure elements (kJ per mole of atoms) = 15
- E (eV for the cell shown) = -123.2



DOS at the Fermi energy, respectively: 1.582, 1.671, 1.698, 1.860, 1.862, 1.554, 1.573, 1.481, 1.726, 1.802 states/eV/atom.